(1)
Entry from Alexandria via LeMat-Bulk: a relaxed structure of BaZn2Ag (PBE).

```
data_BaZn2Ag
_chemical_formula_sum 'Ba1 Zn2 Ag1'
_cell_length_a 5.3342
_cell_length_b 5.3342
_cell_length_c 5.3342
_cell_angle_alpha 127.11
_cell_angle_beta 112.22
_cell_angle_gamma 91.06
_space_group_name_H-M_alt 'P 1'
_space_group_IT_number 1
loop_
_space_group_symop_operation_xyz
'x,y,z'
loop_
_atom_site_label
_atom_site_type_symbol
_atom_site_fract_x
_atom_site_fract_y
_atom_site_fract_z
Ag1 Ag 0.7500 0.2500 0.5000
Ba1 Ba 0.2500 0.7500 0.5000
Zn1 Zn 0.9377 0.9377 0.0000
Zn2 Zn 0.5623 0.5623 0.0000
```

Properties
Its spin magnetization is 0.0000 μB per atom. Its formation energy from the elements is -70.9 meV/atom. Its total energy is -0.0699 Ha/atom.

(2)
Entry from Alexandria via LeMat-Bulk: a relaxed structure of Ba2Zn3Ag6 (PBE).

```
data_Ba2Zn3Ag6
_chemical_formula_sum 'Ba2 Zn3 Ag6'
_cell_length_a 4.5858
_cell_length_b 8.1657
_cell_length_c 8.1657
_cell_angle_alpha 120.00
_cell_angle_beta 90.00
_cell_angle_gamma 90.00
_space_group_name_H-M_alt 'P 1'
_space_group_IT_number 1
loop_
_space_group_symop_operation_xyz
'x,y,z'
loop_
_atom_site_label
_atom_site_type_symbol
_atom_site_fract_x
_atom_site_fract_y
_atom_site_fract_z
Ba1 Ba 0.0000 0.6667 0.3333
Ba2 Ba 0.0000 0.3333 0.6667
Zn1 Zn 0.5000 0.3708 0.3708
Zn2 Zn 0.5000 0.6292 0.0000
Zn3 Zn 0.5000 0.0000 0.6292
Ag1 Ag 0.5000 0.7174 0.7174
Ag2 Ag 0.5000 0.0000 0.2826
Ag3 Ag 0.0000 0.1991 0.1991
Ag4 Ag 0.0000 0.8009 0.0000
Ag5 Ag 0.5000 0.2826 0.0000
Ag6 Ag 0.0000 0.0000 0.8009
```

Properties
Its spin magnetization is 0.0000 μB per atom. Its formation energy from the elements is -133.9 meV/atom. Its total energy is -0.0877 Ha/atom.